Ca3VNi | Alexandria via LeMat-Bulk | PBE | optimized geometry; ΔE to the lowest computed polymorph = 0.619 eV/atom; volume = 35.53 A^3/atom; energy of formation = 5.478 eV/f.u.
1.0
5.621 0.000 0.000
0.000 5.621 0.000
0.000 0.000 5.621
Ni Ca V
1 3 1
direct
0.500 0.500 0.500
0.000 0.500 0.000
0.000 0.000 0.500
0.500 0.000 0.000
0.000 0.000 0.000

---

CaVNi3 | Alexandria via LeMat-Bulk | PBE | optimized geometry; ΔE to the lowest computed polymorph = 1.120 eV/atom; volume = 17.94 A^3/atom; energy of formation = 7.775 eV/f.u.
1.0
4.476 0.000 0.000
0.000 4.476 0.000
0.000 0.000 4.476
Ni Ca V
3 1 1
direct
0.000 0.500 0.000
0.000 0.000 0.500
0.500 0.000 0.000
0.000 0.000 0.000
0.500 0.500 0.500

---

CaV3Ni | Alexandria via LeMat-Bulk | PBE | optimized geometry; ΔE to the lowest computed polymorph = 0.000 eV/atom; volume = 18.91 A^3/atom; energy of formation = 4.119 eV/f.u.
1.0
-3.050 -2.381 -2.406
-1.228 -2.240 3.773
-3.154 3.174 0.857
Ni Ca V
1 1 3
direct
0.000 0.000 0.000
0.500 0.500 0.500
0.000 0.500 0.000
0.000 0.000 0.500
0.500 0.000 0.000

---

Ca2VNi | Alexandria via LeMat-Bulk | PBE | optimized geometry; ΔE to the lowest computed polymorph = 0.000 eV/atom; volume = 23.01 A^3/atom; energy of formation = 1.967 eV/f.u.
1.0
0.000 3.583 3.583
3.583 0.000 3.583
3.583 3.583 0.000
Ni Ca V
1 2 1
direct
0.500 0.500 0.500
0.250 0.250 0.250
0.750 0.750 0.750
0.000 0.000 0.000

---

Ca3VNi | Alexandria via LeMat-Bulk | PBE | optimized geometry; ΔE to the lowest computed polymorph = 0.000 eV/atom; volume = 30.71 A^3/atom; energy of formation = 2.381 eV/f.u.
1.0
5.355 0.000 0.000
0.000 5.355 0.000
0.000 0.000 5.355
Ni Ca V
1 3 1
direct
0.000 0.000 0.000
0.000 0.500 0.000
0.000 0.000 0.500
0.500 0.000 0.000
0.500 0.500 0.500

---

CaVNi2 | Alexandria via LeMat-Bulk | PBE | optimized geometry; ΔE to the lowest computed polymorph = 0.000 eV/atom; volume = 15.76 A^3/atom; energy of formation = -0.059 eV/f.u.
1.0
3.046 0.000 0.000
0.000 3.046 0.000
0.000 0.000 6.794
Ni Ca V
2 1 1
direct
0.000 0.000 0.818
0.000 0.000 0.182
0.500 0.500 0.500
0.500 0.500 0.000